# 1
Compound: Pm12GaCu6
Source: the Alexandria database
Functional: PBE
Structure: optimized geometry

Properties
As for the formation energy from the elements: -0.127 eV per atom. The crystal system is cubic.

a = 10.0784 Å, b = 10.0784 Å, c = 10.0784 Å
α = 90.00°, β = 90.00°, γ = 90.00°
With the nearest neighbours (Å) after each atom.
Space group Im-3 (No. 204)
One atom of each set of equivalent atoms:
Pm1 0.0000 0.1873 0.2957 [24 per cell]  3 Cu 2.81-3.06
Ga1 0.0000 0.0000 0.0000 [2 per cell]  12 Pm 3.53
Cu1 0.0000 0.3772 0.5000 [12 per cell]  1 Cu 2.48

***

# 2
Compound: La6Nd12Tm
Source: the Alexandria database
Functional: PBE
Structure: optimized geometry

Properties
For the energy relative to the lowest polymorph listed for this composition, the calculation gives 0.000 eV per atom. As for the formation energy from the elements: 0.114 eV per atom. The crystal system is trigonal.

a = 12.4193 Å, b = 12.4193 Å, c = 15.3348 Å
α = 90.00°, β = 90.00°, γ = 120.00°
With the nearest neighbours (Å) after each atom.
Space group R-3 (No. 148, hexagonal axes)
One atom of each set of equivalent atoms:
La1 0.0135 0.5925 0.1866 [18 per cell]  7 Nd 3.47-3.77, 1 Tm 3.61, 2 La 3.65
Nd1 0.0044 0.8320 0.3109 [18 per cell]  4 Nd 3.54-3.77, 4 La 3.58-3.77, 1 Tm 3.59
Nd2 0.0507 0.1973 0.9166 [18 per cell]  4 Nd 3.38-3.77, 3 La 3.47-3.52
Tm1 0.0000 0.0000 0.5000 [3 per cell]  6 Nd 3.59, 6 La 3.61

***

# 3
Compound: InGaAg3
Source: the Alexandria database
Functional: PBE
Structure: optimized geometry

Properties
For the energy relative to the lowest polymorph listed for this composition, the calculation gives 0.557 eV per atom. As for the formation energy from the elements: 0.573 eV per atom. The crystal system is cubic.

a = 5.2476 Å, b = 5.2476 Å, c = 5.2476 Å
α = 90.00°, β = 90.00°, γ = 90.00°
With the nearest neighbours (Å) after each atom.
Space group Pm-3m (No. 221)
One atom of each set of equivalent atoms:
In1 0.0000 0.0000 0.0000 [1 per cell]  6 Ag 2.62
Ga1 0.5000 0.5000 0.5000 [1 per cell]  12 Ag 3.71
Ag1 0.0000 0.0000 0.5000 [3 per cell]  2 In 2.62

***

# 4
Compound: Ac4Zn5Ge6
Source: the Alexandria database
Functional: PBE
Structure: optimized geometry

Properties
As for the formation energy from the elements: -0.513 eV per atom. The crystal system is orthorhombic.

a = 4.5020 Å, b = 19.7443 Å, c = 16.5103 Å
α = 90.00°, β = 90.00°, γ = 90.00°
With the nearest neighbours (Å) after each atom.
Space group Cmc2_1 (No. 36)
One atom of each set of equivalent atoms:
Ac1 0.0000 0.0201 0.0000 [4 per cell]  7 Ge 3.27-3.38, 3 Zn 3.33-3.40
Ac2 0.0000 0.0307 0.2581 [4 per cell]  6 Ge 3.22-3.30, 5 Zn 3.23-3.31
Ac3 0.0000 0.1719 0.8018 [4 per cell]  6 Ge 3.19-3.28, 1 Zn 3.49
Ac4 0.0000 0.1783 0.4469 [4 per cell]  6 Ge 3.12-3.25, 1 Zn 3.47
Zn1 0.0000 0.1517 0.1264 [4 per cell]  4 Ge 2.53-2.73, 1 Zn 2.83
Zn2 0.0000 0.2949 0.1263 [4 per cell]  4 Ge 2.64-2.88, 2 Zn 2.80-2.83
Zn3 0.0000 0.3467 0.7696 [4 per cell]  4 Ge 2.61-2.81
Zn4 0.0000 0.3517 0.4820 [4 per cell]  4 Ge 2.61-2.84
Zn5 0.0000 0.4307 0.1754 [4 per cell]  2 Ge 2.59, 1 Zn 2.80
Ge1 0.0000 0.1147 0.6199 [4 per cell]  4 Zn 2.59-2.88
Ge2 0.0000 0.2149 0.9928 [4 per cell]  4 Zn 2.53-2.71
Ge3 0.0000 0.2194 0.2583 [4 per cell]  4 Zn 2.55-2.64
Ge4 0.0000 0.4267 0.6285 [4 per cell]  5 Zn 2.73-2.92
Ge5 0.0000 0.4330 0.8973 [4 per cell]  1 Ge 2.60, 1 Zn 2.71
Ge6 0.0000 0.4402 0.3547 [4 per cell]  1 Ge 2.60, 1 Zn 2.73

***

# 5
Compound: Cs2Li2BiS4
Source: the Alexandria database
Functional: PBE
Structure: optimized geometry

Properties
For the energy relative to the elements, uncorrected, the calculation gives -915 meV per atom. The crystal system is monoclinic.

a = 15.1943 Å, b = 4.1983 Å, c = 8.0604 Å
α = 90.00°, β = 109.38°, γ = 90.00°
With the nearest neighbours (Å) after each atom.
Space group C2/m (No. 12)
One atom of each set of equivalent atoms:
Cs1 0.1387 0.0000 0.0550 [4 per cell]  7 S 3.55-3.65, 1 Li 3.75
Li1 0.1817 0.5000 0.4947 [4 per cell]  4 S 2.43-2.57
Bi1 0.0000 0.0000 0.5000 [2 per cell]  6 S 2.76-2.83
S1 0.0218 0.5000 0.2823 [4 per cell]  1 Li 2.46
S2 0.1920 0.0000 0.6519 [4 per cell]  3 Li 2.43-2.57

***

# 6
Compound: SrPtCl2
Source: the Alexandria database
Functional: PBE
Structure: optimized geometry

Properties
For the energy relative to the elements, uncorrected, the calculation gives -1020 meV per atom. For the energy relative to the lowest polymorph listed for this composition, the calculation gives 0.305 eV per atom. The crystal system is orthorhombic.

a = 3.7450 Å, b = 3.9142 Å, c = 14.3510 Å
α = 90.00°, β = 90.00°, γ = 90.00°
With the nearest neighbours (Å) after each atom.
Space group Imm2 (No. 44)
One atom of each set of equivalent atoms:
Sr1 0.0000 0.0000 0.0000 [2 per cell]  6 Cl 2.97-3.05, 2 Pt 3.01
Pt1 0.0000 0.5000 0.3355 [2 per cell]  4 Cl 2.71, 2 Sr 3.01
Cl1 0.0000 0.0000 0.5855 [2 per cell]  4 Sr 2.97
Cl2 0.0000 0.5000 0.8366 [2 per cell]  4 Pt 2.71

***

# 7
Compound: CaY2Re
Source: the Alexandria database
Functional: PBE
Structure: optimized geometry

Properties
For the energy relative to the lowest polymorph listed for this composition, the calculation gives 0.481 eV per atom. As for the formation energy from the elements: 0.620 eV per atom. The crystal system is monoclinic.

a = 5.8322 Å, b = 3.1510 Å, c = 6.0155 Å
α = 90.00°, β = 115.95°, γ = 90.00°
With the nearest neighbours (Å) after each atom.
Space group P2/m (No. 10)
One atom of each set of equivalent atoms:
Ca1 0.0000 0.0000 0.0000 [1 per cell]  6 Y 3.14-3.31, 2 Ca 3.15, 4 Re 3.40
Y1 0.5000 0.0000 0.5000 [1 per cell]  2 Ca 3.14, 6 Y 3.15-3.40, 4 Re 3.31
Y2 0.5000 0.5000 0.0000 [1 per cell]  2 Re 3.14, 6 Y 3.15-3.40, 4 Ca 3.31
Re1 0.0000 0.5000 0.5000 [1 per cell]  6 Y 3.14-3.31, 2 Re 3.15, 4 Ca 3.40

***

# 8
Compound: Tm3Ga2Ge3
Source: the Alexandria database
Functional: PBE
Structure: optimized geometry

Properties
As for the formation energy from the elements: -0.690 eV per atom. The crystal system is tetragonal.

a = 7.7682 Å, b = 7.7682 Å, c = 10.8844 Å
α = 90.00°, β = 90.00°, γ = 90.00°
With the nearest neighbours (Å) after each atom.
Space group I4cm (No. 108)
One atom of each set of equivalent atoms:
Tm1 0.0000 0.0000 0.0000 [4 per cell]  6 Ge 2.71-3.02
Tm2 0.1615 0.3385 0.2626 [8 per cell]  5 Ge 2.91-3.14, 3 Ga 2.98-3.09
Ga1 0.1395 0.3605 0.5770 [8 per cell]  3 Ge 2.63-2.72
Ge1 0.0000 0.0000 0.2487 [4 per cell]  6 Tm 2.71-2.92
Ge2 0.1477 0.3523 0.9487 [8 per cell]  3 Ga 2.63-2.72, 1 Tm 2.91

***

# 9
Compound: Sr2LiH
Source: the Alexandria database
Functional: PBE
Structure: optimized geometry

Properties
For the energy relative to the lowest polymorph listed for this composition, the calculation gives 0.423 eV per atom. The crystal system is cubic.

a = 7.9705 Å, b = 7.9705 Å, c = 7.9705 Å
α = 90.00°, β = 90.00°, γ = 90.00°
With the nearest neighbours (Å) after each atom.
Space group Fm-3m (No. 225)
One atom of each set of equivalent atoms:
Sr1 0.2500 0.2500 0.2500 [8 per cell]  4 H 3.45, 4 Li 3.45
Li1 0.0000 0.0000 0.0000 [4 per cell]  8 Sr 3.45
H1 0.0000 0.0000 0.5000 [4 per cell]  8 Sr 3.45

***

# 10
Compound: CaCd2SiI
Source: the Alexandria database
Functional: PBE
Structure: optimized geometry

Properties
For the energy relative to the elements, uncorrected, the calculation gives 712 meV per atom. The crystal system is tetragonal.

a = 5.7661 Å, b = 5.7661 Å, c = 5.7400 Å
α = 90.00°, β = 90.00°, γ = 90.00°
With the nearest neighbours (Å) after each atom.
Space group P4/mmm (No. 123)
One atom of each set of equivalent atoms:
Ca1 0.0000 0.0000 0.0000 [1 per cell]  2 I 2.87
Cd1 0.0000 0.5000 0.5000 [2 per cell]  2 I 2.88
Si1 0.5000 0.5000 0.0000 [1 per cell]  8 Cd 4.07, 4 Ca 4.08
I1 0.0000 0.0000 0.5000 [1 per cell]  2 Ca 2.87, 4 Cd 2.88

***

# 11
Compound: SmTmCd3
Source: the Alexandria database
Functional: PBE
Structure: optimized geometry

Properties
As for the formation energy from the elements: -0.298 eV per atom. The crystal system is orthorhombic.

a = 3.4596 Å, b = 29.4981 Å, c = 4.9977 Å
α = 90.00°, β = 90.00°, γ = 90.00°
With the nearest neighbours (Å) after each atom.
Space group Cmcm (No. 63)
One atom of each set of equivalent atoms:
Sm1 0.0000 0.0754 0.2500 [4 per cell]  12 Cd 3.35-3.48, 2 Sm 3.46
Tm1 0.0000 0.2155 0.7500 [4 per cell]  7 Cd 3.15-3.24, 2 Tm 3.46
Cd1 0.0000 0.3223 0.7500 [4 per cell]  2 Cd 2.97, 5 Tm 3.15-3.24
Cd2 0.0000 0.3769 0.2500 [4 per cell]  3 Cd 2.92-2.97, 2 Tm 3.23
Cd3 0.0000 0.4758 0.2500 [4 per cell]  3 Cd 2.88-2.92

***

# 12
Compound: Pm2Pr8Pb
Source: the Alexandria database
Functional: PBE
Structure: optimized geometry

Properties
For the energy relative to the lowest polymorph listed for this composition, the calculation gives 0.064 eV per atom. As for the formation energy from the elements: -0.018 eV per atom. The crystal system is orthorhombic.

a = 5.6913 Å, b = 7.8104 Å, c = 17.8310 Å
α = 90.00°, β = 90.00°, γ = 90.00°
With the nearest neighbours (Å) after each atom.
Space group Immm (No. 71)
One atom of each set of equivalent atoms:
Pm1 0.0000 0.0000 0.1922 [4 per cell]  8 Pr 3.48-3.71
Pr1 0.0000 0.2390 0.0000 [4 per cell]  2 Pb 3.50, 7 Pr 3.73-3.76, 2 Pm 3.90
Pr2 0.0000 0.2749 0.3620 [8 per cell]  1 Pb 3.27, 2 Pm 3.48, 3 Pr 3.52-3.63
Pr3 0.0000 0.5000 0.1762 [4 per cell]  8 Pr 3.63-3.75, 4 Pm 3.69-3.92
Pb1 0.0000 0.0000 0.5000 [2 per cell]  8 Pr 3.27-3.50

***

# 13
Compound: Ac4ZnI5
Source: the Alexandria database
Functional: PBE
Structure: optimized geometry

Properties
For the energy relative to the elements, uncorrected, the calculation gives -1083 meV per atom. The crystal system is monoclinic.

a = 20.7127 Å, b = 4.4594 Å, c = 9.7929 Å
α = 90.00°, β = 102.59°, γ = 90.00°
With the nearest neighbours (Å) after each atom.
Space group C2/m (No. 12)
One atom of each set of equivalent atoms:
Ac1 0.0006 0.0000 0.2768 [4 per cell]  2 Zn 3.12, 1 I 3.42
Ac2 0.1525 0.5000 0.5784 [4 per cell]  1 Zn 3.08, 4 I 3.38-3.44
Zn1 0.0000 0.5000 0.5000 [2 per cell]  6 Ac 3.08-3.12
I1 0.0000 0.5000 0.0000 [2 per cell]  4 Ac 3.51
I2 0.1676 0.0000 0.8428 [4 per cell]  3 Ac 3.38-3.42
I3 0.1736 0.0000 0.3243 [4 per cell]  4 Ac 3.44-3.52

***

# 14
Compound: VOsAuBr2
Source: the Alexandria database
Functional: PBE
Structure: optimized geometry

Properties
For the energy relative to the elements, uncorrected, the calculation gives 2175 meV per atom. The crystal system is tetragonal.

a = 5.0379 Å, b = 5.0379 Å, c = 5.1796 Å
α = 90.00°, β = 90.00°, γ = 90.00°
With the nearest neighbours (Å) after each atom.
Space group P4/mmm (No. 123)
One atom of each set of equivalent atoms:
V1 0.0000 0.0000 0.0000 [1 per cell]  2 Au 2.59
Os1 0.5000 0.5000 0.0000 [1 per cell]  4 V 3.56, 8 Br 3.61
Au1 0.0000 0.0000 0.5000 [1 per cell]  4 Br 2.52, 2 V 2.59
Br1 0.0000 0.5000 0.5000 [2 per cell]  2 Au 2.52

***

# 15
Compound: LuCdSb2
Source: the Alexandria database
Functional: PBE
Structure: optimized geometry

Properties
For the energy relative to the elements, uncorrected, the calculation gives -312 meV per atom. The crystal system is trigonal.

a = 4.4212 Å, b = 4.4212 Å, c = 20.2437 Å
α = 90.00°, β = 90.00°, γ = 120.00°
With the nearest neighbours (Å) after each atom.
Space group R-3m (No. 166, hexagonal axes)
One atom of each set of equivalent atoms:
Lu1 0.0000 0.0000 0.0000 [3 per cell]  6 Sb 3.05
Cd1 0.0000 0.0000 0.5000 [3 per cell]  6 Sb 3.07
Sb1 0.0000 0.0000 0.2506 [6 per cell]  3 Lu 3.05, 3 Cd 3.07

***

# 16
Compound: MgBeBi2
Source: the Alexandria database
Functional: PBE
Structure: optimized geometry

Properties
For the energy relative to the lowest polymorph listed for this composition, the calculation gives 0.116 eV per atom. As for the formation energy from the elements: 0.427 eV per atom. The crystal system is cubic.

a = 7.2634 Å, b = 7.2634 Å, c = 7.2634 Å
α = 90.00°, β = 90.00°, γ = 90.00°
With the nearest neighbours (Å) after each atom.
Space group Fm-3m (No. 225)
One atom of each set of equivalent atoms:
Mg1 0.0000 0.0000 0.0000 [4 per cell]  8 Bi 3.15
Be1 0.0000 0.0000 0.5000 [4 per cell]  8 Bi 3.15
Bi1 0.2500 0.2500 0.2500 [8 per cell]  4 Be 3.15, 4 Mg 3.15

***

# 17
Compound: La2PuRuN4
Source: the Alexandria database
Functional: PBE
Structure: optimized geometry

Properties
For the energy relative to the elements, uncorrected, the calculation gives -764 meV per atom. The crystal system is orthorhombic.

a = 3.3951 Å, b = 11.8658 Å, c = 12.3268 Å
α = 90.00°, β = 90.00°, γ = 90.00°
With the nearest neighbours (Å) after each atom.
Space group Cmcm (No. 63)
One atom of each set of equivalent atoms:
La1 0.0000 0.1325 0.0503 [8 per cell]  3 N 2.40-2.60
Pu1 0.0000 0.3897 0.2500 [4 per cell]  6 N 2.45-2.48
Ru1 0.0000 0.3476 0.7500 [4 per cell]  4 N 2.05-2.15
N1 0.0000 0.0416 0.2500 [4 per cell]  2 Ru 2.15
N2 0.0000 0.2128 0.6464 [8 per cell]  1 Ru 2.05
N3 0.0000 0.5000 0.0000 [4 per cell]  4 La 2.40

***

# 18
Compound: La2AlAu
Source: the Alexandria database
Functional: PBE
Structure: optimized geometry

Properties
As for the formation energy from the elements: -0.212 eV per atom. The crystal system is cubic.

a = 7.3423 Å, b = 7.3423 Å, c = 7.3423 Å
α = 90.00°, β = 90.00°, γ = 90.00°
With the nearest neighbours (Å) after each atom.
Space group F-43m (No. 216)
One atom of each set of equivalent atoms:
La1 0.0000 0.0000 0.0000 [4 per cell]  4 La 3.18, 4 Au 3.18
La2 0.2500 0.2500 0.2500 [4 per cell]  4 La 3.18, 4 Al 3.18
Al1 0.0000 0.0000 0.5000 [4 per cell]  4 La 3.18, 4 Au 3.18
Au1 0.2500 0.2500 0.7500 [4 per cell]  4 La 3.18, 4 Al 3.18

***

# 19
Compound: BaIn2Ag2
Source: the Alexandria database
Functional: PBE
Structure: optimized geometry

Properties
As for the formation energy from the elements: -0.073 eV per atom. The crystal system is tetragonal.

a = 8.8506 Å, b = 8.8506 Å, c = 3.3298 Å
α = 90.00°, β = 90.00°, γ = 90.00°
With the nearest neighbours (Å) after each atom.
Space group P4/mbm (No. 127)
One atom of each set of equivalent atoms:
Ba1 0.0000 0.0000 0.0000 [2 per cell]  2 Ba 3.33, 4 In 3.49, 8 Ag 3.70
In1 0.1273 0.3727 0.0000 [4 per cell]  6 Ag 3.09, 3 In 3.19-3.33
Ag1 0.1646 0.6646 0.5000 [4 per cell]  6 In 3.09, 2 Ag 3.33

***

# 20
Compound: DyYLu2
Source: the Alexandria database
Functional: PBE
Structure: optimized geometry

Properties
For the energy relative to the lowest polymorph listed for this composition, the calculation gives 0.088 eV per atom. As for the formation energy from the elements: 0.119 eV per atom. The crystal system is cubic.

a = 7.9219 Å, b = 7.9219 Å, c = 7.9219 Å
α = 90.00°, β = 90.00°, γ = 90.00°
With the nearest neighbours (Å) after each atom.
Space group Fm-3m (No. 225)
One atom of each set of equivalent atoms:
Dy1 0.0000 0.0000 0.0000 [4 per cell]  8 Lu 3.43
Y1 0.0000 0.0000 0.5000 [4 per cell]  8 Lu 3.43
Lu1 0.2500 0.2500 0.2500 [8 per cell]  4 Dy 3.43, 4 Y 3.43